# 1
First-principles (PBE) data for a geometry-optimized LuPt2Pb structure, as listed in Alexandria via LeMat-Bulk.

DFT total energy in eV/cell: -23.088

abc: 3.7383 4.6577 4.6577
angles: 90.00 90.00 90.00
Last column: nearest neighbours and their distance in Å.
Sites, in units of the cell vectors:
Lu 0.5000 0.0000 0.0000  8 Pt 2.99, 4 Pb 3.29
Pt 0.0000 0.5000 0.0000  4 Pb 2.99, 4 Lu 2.99, 4 Pt 3.29
Pt 0.0000 0.0000 0.5000  4 Pb 2.99, 4 Lu 2.99, 4 Pt 3.29
Pb 0.5000 0.5000 0.5000  8 Pt 2.99, 4 Lu 3.29


# 2
First-principles (PBE) data for a geometry-optimized LuPt2Pb structure, as listed in Alexandria via LeMat-Bulk.

DFT total energy in eV/cell: -23.439

abc: 3.5284 3.5284 6.6609
angles: 90.00 90.00 90.00
Last column: nearest neighbours and their distance in Å.
Sites, in units of the cell vectors:
Pb 0.5000 0.5000 0.5000  8 Pt 3.10, 2 Lu 3.33
Pt 0.0000 0.0000 0.7772  4 Lu 2.90, 1 Pt 2.97, 4 Pb 3.10
Pt 0.0000 0.0000 0.2228  4 Lu 2.90, 1 Pt 2.97, 4 Pb 3.10
Lu 0.5000 0.5000 0.0000  8 Pt 2.90


# 3
First-principles (PBE) data for a geometry-optimized LuPtPb2 structure, as listed in Alexandria via LeMat-Bulk.

DFT total energy in eV/cell: -17.875

abc: 3.5368 3.5368 10.4200
angles: 80.23 80.23 60.00
Last column: nearest neighbours and their distance in Å.
Sites, in units of the cell vectors:
Pb 0.8981 0.8981 0.3057  3 Pt 2.85, 1 Lu 3.12
Pb 0.1019 0.1019 0.6943  3 Pt 2.85, 1 Lu 3.12
Lu 0.0000 0.0000 0.0000  2 Pb 3.12
Pt 0.5000 0.5000 0.5000  6 Pb 2.85


# 4
First-principles (PBE) data for a geometry-optimized LuScPtPb structure, as listed in Alexandria via LeMat-Bulk.

DFT total energy in eV/cell: -23.430

abc: 5.0041 5.0041 5.0041
angles: 60.00 60.00 60.00
Last column: nearest neighbours and their distance in Å.
Sites, in units of the cell vectors:
Sc 0.5000 0.5000 0.5000  4 Pb 3.06, 4 Pt 3.06
Pb 0.2500 0.2500 0.2500  4 Lu 3.06, 4 Sc 3.06
Pt 0.7500 0.7500 0.7500  4 Sc 3.06, 4 Lu 3.06
Lu 0.0000 0.0000 0.0000  4 Pt 3.06, 4 Pb 3.06


# 5
First-principles (PBE) data for a geometry-optimized TbLuPtPb structure, as listed in Alexandria via LeMat-Bulk.

DFT total energy in eV/cell: -21.842

abc: 5.1529 5.1529 5.1529
angles: 60.00 60.00 60.00
Last column: nearest neighbours and their distance in Å.
Sites, in units of the cell vectors:
Pt 0.7500 0.7500 0.7500  4 Lu 3.16, 4 Tb 3.16
Pb 0.2500 0.2500 0.2500  4 Tb 3.16, 4 Lu 3.16
Lu 0.5000 0.5000 0.5000  4 Pb 3.16, 4 Pt 3.16
Tb 0.0000 0.0000 0.0000  4 Pb 3.16, 4 Pt 3.16


# 6
First-principles (PBE) data for a geometry-optimized TmLuPtPb structure, as listed in Alexandria via LeMat-Bulk.

DFT total energy in eV/cell: -21.717

abc: 5.1089 5.1089 5.1089
angles: 60.00 60.00 60.00
Last column: nearest neighbours and their distance in Å.
Sites, in units of the cell vectors:
Tm 0.5000 0.5000 0.5000  4 Pb 3.13, 4 Pt 3.13
Pt 0.7500 0.7500 0.7500  4 Tm 3.13, 4 Lu 3.13
Lu 0.0000 0.0000 0.0000  4 Pb 3.13, 4 Pt 3.13
Pb 0.2500 0.2500 0.2500  4 Tm 3.13, 4 Lu 3.13


# 7
First-principles (PBE) data for a geometry-optimized YLuPtPb structure, as listed in Alexandria via LeMat-Bulk.

DFT total energy in eV/cell: -23.711

abc: 5.1470 5.1470 5.1470
angles: 60.00 60.00 60.00
Last column: nearest neighbours and their distance in Å.
Sites, in units of the cell vectors:
Lu 0.2500 0.2500 0.2500  4 Pb 3.15, 4 Pt 3.15
Pt 0.5000 0.5000 0.5000  4 Lu 3.15, 4 Y 3.15
Y 0.7500 0.7500 0.7500  4 Pb 3.15, 4 Pt 3.15
Pb 0.0000 0.0000 0.0000  4 Y 3.15, 4 Lu 3.15


# 8
First-principles (PBE) data for a geometry-optimized Lu2PuPb structure, as listed in Alexandria via LeMat-Bulk.

ΔE to the lowest computed polymorph in eV per atom: 0.000
DFT total energy in eV/cell: -27.679

abc: 4.6132 4.8621 4.8621
angles: 90.00 90.00 90.00
Last column: nearest neighbours and their distance in Å.
Sites, in units of the cell vectors:
Pu 0.5000 0.5000 0.5000  8 Lu 3.35, 4 Pb 3.44
Lu 0.0000 0.0000 0.5000  4 Pb 3.35, 4 Pu 3.35, 4 Lu 3.44
Lu 0.0000 0.5000 0.0000  4 Pb 3.35, 4 Pu 3.35, 4 Lu 3.44
Pb 0.5000 0.0000 0.0000  8 Lu 3.35, 4 Pu 3.44


# 9
First-principles (PBE) data for a geometry-optimized Lu2PuPb structure, as listed in Alexandria via LeMat-Bulk.

ΔE to the lowest computed polymorph in eV per atom: 0.333
DFT total energy in eV/cell: -26.348

abc: 3.4026 3.4026 11.9384
angles: 81.81 81.81 60.00
Last column: nearest neighbours and their distance in Å.
Sites, in units of the cell vectors:
Lu 0.0920 0.0920 0.7241  1 Pu 3.25, 3 Pb 3.29, 6 Lu 3.40
Lu 0.9080 0.9080 0.2759  1 Pu 3.25, 3 Pb 3.29, 6 Lu 3.40
Pu 0.0000 0.0000 0.0000  2 Lu 3.25, 6 Pu 3.40
Pb 0.5000 0.5000 0.5000  6 Lu 3.29, 6 Pb 3.40


# 10
First-principles (PBE) data for a geometry-optimized Lu2PuPb structure, as listed in Alexandria via LeMat-Bulk.

ΔE to the lowest computed polymorph in eV per atom: 0.168
DFT total energy in eV/cell: -27.007

abc: 5.3601 5.3601 5.3601
angles: 60.00 60.00 60.00
Last column: nearest neighbours and their distance in Å.
Sites, in units of the cell vectors:
Lu 0.2500 0.2500 0.2500  4 Pb 3.28, 4 Pu 3.28
Lu 0.7500 0.7500 0.7500  4 Pb 3.28, 4 Pu 3.28
Pu 0.0000 0.0000 0.0000  8 Lu 3.28
Pb 0.5000 0.5000 0.5000  8 Lu 3.28


# 11
First-principles (PBE) data for a geometry-optimized LuPu2Pb structure, as listed in Alexandria via LeMat-Bulk.

ΔE to the lowest computed polymorph in eV per atom: 0.000
DFT total energy in eV/cell: -37.500

abc: 5.1542 4.5638 4.5638
angles: 90.00 90.00 90.00
Last column: nearest neighbours and their distance in Å.
Sites, in units of the cell vectors:
Pu 0.0000 0.5000 0.0000  4 Pu 3.23, 4 Pb 3.44, 4 Lu 3.44
Pu 0.0000 0.0000 0.5000  4 Pu 3.23, 4 Lu 3.44, 4 Pb 3.44
Lu 0.5000 0.5000 0.5000  4 Pb 3.23, 8 Pu 3.44
Pb 0.5000 0.0000 0.0000  4 Lu 3.23, 8 Pu 3.44


# 12
First-principles (PBE) data for a geometry-optimized LuPu2Pb structure, as listed in Alexandria via LeMat-Bulk.

ΔE to the lowest computed polymorph in eV per atom: 0.243
DFT total energy in eV/cell: -36.530

abc: 5.4176 5.4176 5.4176
angles: 60.00 60.00 60.00
Last column: nearest neighbours and their distance in Å.
Sites, in units of the cell vectors:
Lu 0.0000 0.0000 0.0000  8 Pu 3.32
Pu 0.2500 0.2500 0.2500  4 Pb 3.32, 4 Lu 3.32
Pu 0.7500 0.7500 0.7500  4 Pb 3.32, 4 Lu 3.32
Pb 0.5000 0.5000 0.5000  8 Pu 3.32


# 13
First-principles (PBE) data for a geometry-optimized Lu2PuPb structure, as listed in Alexandria via LeMat-Bulk.

ΔE to the lowest computed polymorph in eV per atom: 0.039
DFT total energy in eV/cell: -27.524

abc: 3.5262 3.5262 8.9826
angles: 90.00 90.00 90.00
Last column: nearest neighbours and their distance in Å.
Sites, in units of the cell vectors:
Lu 0.0000 0.0000 0.7593  4 Pb 3.30, 4 Pu 3.41, 4 Lu 3.53
Lu 0.0000 0.0000 0.2407  4 Pb 3.30, 4 Pu 3.41, 4 Lu 3.53
Pb 0.5000 0.5000 0.0000  8 Lu 3.30, 4 Pb 3.53
Pu 0.5000 0.5000 0.5000  8 Lu 3.41, 4 Pu 3.53


# 14
First-principles (PBE) data for a geometry-optimized LuPuRuPb structure, as listed in Alexandria via LeMat-Bulk.

DFT total energy in eV/cell: -32.048

abc: 5.0817 5.0817 5.0817
angles: 60.00 60.00 60.00
Last column: nearest neighbours and their distance in Å.
Sites, in units of the cell vectors:
Pb 0.2500 0.2500 0.2500  4 Pu 3.11, 4 Lu 3.11
Pu 0.5000 0.5000 0.5000  4 Ru 3.11, 4 Pb 3.11
Lu 0.0000 0.0000 0.0000  4 Pb 3.11, 4 Ru 3.11
Ru 0.7500 0.7500 0.7500  4 Lu 3.11, 4 Pu 3.11


# 15
First-principles (PBE) data for a geometry-optimized LuPuSnPb structure, as listed in Alexandria via LeMat-Bulk.

DFT total energy in eV/cell: -27.723

abc: 5.3453 5.3453 5.3453
angles: 60.00 60.00 60.00
Last column: nearest neighbours and their distance in Å.
Sites, in units of the cell vectors:
Pb 0.2500 0.2500 0.2500  4 Pu 3.27, 4 Lu 3.27
Lu 0.0000 0.0000 0.0000  4 Pb 3.27, 4 Sn 3.27
Pu 0.5000 0.5000 0.5000  4 Pb 3.27, 4 Sn 3.27
Sn 0.7500 0.7500 0.7500  4 Pu 3.27, 4 Lu 3.27


# 16
First-principles (PBE) data for a geometry-optimized LuPuTlPb structure, as listed in Alexandria via LeMat-Bulk.

DFT total energy in eV/cell: -25.562

abc: 5.3802 5.3802 5.3802
angles: 60.00 60.00 60.00
Last column: nearest neighbours and their distance in Å.
Sites, in units of the cell vectors:
Lu 0.7500 0.7500 0.7500  4 Pb 3.29, 4 Tl 3.29
Pu 0.2500 0.2500 0.2500  4 Tl 3.29, 4 Pb 3.29
Tl 0.0000 0.0000 0.0000  4 Pu 3.29, 4 Lu 3.29
Pb 0.5000 0.5000 0.5000  4 Pu 3.29, 4 Lu 3.29